# Zr2TiAgC

A relaxed Zr2TiAgC crystal (PBE-GGA, Alexandria via LeMat-Bulk).

Summary:
- formation energy (meV per atom) = -337
- theoretical density (g/cm3) = 6.6

a = 4.5525 Å, b = 4.5525 Å, c = 4.2351 Å
α = 90.00°, β = 90.00°, γ = 90.00°
Element x y z (fractional)
Zr  0.0000  0.5000  0.0000
Zr  0.5000  0.0000  0.0000
Ti  0.0000  0.0000  0.5000
Ag  0.5000  0.5000  0.5000
C  0.0000  0.0000  0.0000